No. 1
## LiHoSeO (PBE)

Data for an optimized crystal structure of LiHoSeO.

Structure (CIF):
```
data_LiHoSeO
_chemical_formula_sum 'Li2 Ho2 Se2 O2'
_symmetry_space_group_name_H-M 'P 4/n m m'
_symmetry_Int_Tables_number 129
_cell_length_a 3.890
_cell_length_b 3.890
_cell_length_c 8.794
_cell_angle_alpha 90.00
_cell_angle_beta 90.00
_cell_angle_gamma 90.00
loop_
_symmetry_equiv_pos_as_xyz
'x,y,z'
'-x,-y,-z'
'-y+1/2,x,z'
'y+1/2,-x,-z'
'-x+1/2,-y+1/2,z'
'x+1/2,y+1/2,-z'
'y,-x+1/2,z'
'-y,x+1/2,-z'
'x+1/2,-y,-z'
'-x+1/2,y,z'
'-y,-x,-z'
'y,x,z'
'-x,y+1/2,-z'
'x,-y+1/2,z'
'y+1/2,x+1/2,-z'
'-y+1/2,-x+1/2,z'
loop_
_atom_site_label
_atom_site_fract_x
_atom_site_fract_y
_atom_site_fract_z
Li1 0.250 0.750 0.000
Ho1 0.250 0.250 0.375
Se1 0.250 0.250 0.819
O1 0.250 0.750 0.500
```

Calculated values
Magnetization = 0.00 μB/f.u.
Calculated total energy = -6.1345 eV per atom

No. 2
## LiHoSeO (PBE)

Data for an optimized crystal structure of LiHoSeO.

Structure (CIF):
```
data_LiHoSeO
_chemical_formula_sum 'Li4 Ho4 Se4 O4'
_symmetry_space_group_name_H-M 'P 1 21/c 1'
_symmetry_Int_Tables_number 14
_symmetry_space_group_name_Hall '-P 2ybc'
_cell_length_a 6.303
_cell_length_b 7.244
_cell_length_c 6.222
_cell_angle_alpha 90.00
_cell_angle_beta 101.93
_cell_angle_gamma 90.00
loop_
_atom_site_label
_atom_site_fract_x
_atom_site_fract_y
_atom_site_fract_z
Li1 0.115 0.237 0.471
Ho1 0.434 0.618 0.763
Se1 0.171 0.571 0.316
O1 0.397 0.165 0.397
```

Calculated values
Magnetization = 0.00 μB/f.u.
Calculated total energy = -6.0454 eV per atom